[1]
The following is a DFT calculation (PBE-GGA) of AcCoPd after structural relaxation.

Cell: 4.5328 4.5328 4.5328 Å, 60.00 60.00 60.00°
Closest atoms and distances in Å follow each position.
Fractional coordinates of all 3 atoms:
Ac 0.0000 0.0000 0.0000  4 Co 2.78
Co 0.2500 0.2500 0.2500  4 Pd 2.78, 4 Ac 2.78
Pd 0.5000 0.5000 0.5000  4 Co 2.78

Properties
* E above lowest polymorph: 0.0 kJ/mol of formula units
* space-group type: F-43m, No. 216

=====

[2]
The following is a DFT calculation (PBE-GGA) of AcPrCo after structural relaxation.

Cell: 4.9749 4.9749 4.9749 Å, 60.00 60.00 60.00°
Closest atoms and distances in Å follow each position.
Fractional coordinates of all 3 atoms:
Ac 0.0000 0.0000 0.0000  4 Pr 3.05
Pr 0.2500 0.2500 0.2500  4 Ac 3.05, 4 Co 3.05
Co 0.5000 0.5000 0.5000  4 Pr 3.05

Properties
* space-group type: F-43m, No. 216

=====

What did we get for formation energy? Answer: -0.06; 2.46 eV per formula unit, in the order shown.
What did we get for raw total energy? Answer: -5.48; -4.51 eV per atom, in the order shown.